(1)
! DyZn2Si | Alexandria | PBE | relaxed; values from VASP
&SYSTEM
  ibrav = 0, nat = 4, ntyp = 3
/
ATOMIC_SPECIES
Dy 162.50 Dy.upf
Zn 65.41 Zn.upf
Si 28.09 Si.upf
CELL_PARAMETERS angstrom
4.088 0.000 0.000
0.000 4.088 0.000
0.000 0.000 4.373
ATOMIC_POSITIONS crystal
Dy 0.000 0.000 0.000
Zn 0.000 0.500 0.500
Zn 0.500 0.000 0.500
Si 0.500 0.500 0.000
! SG   P4/mmm
! ΔE_f (raw)   -350 meV per atom
! Crystal system   tetragonal

(2)
! CsPrAgI5 | Alexandria | PBE | relaxed; values from VASP
&SYSTEM
  ibrav = 0, nat = 16, ntyp = 4
/
ATOMIC_SPECIES
Cs 132.91 Cs.upf
Pr 140.91 Pr.upf
Ag 107.87 Ag.upf
I 126.90 I.upf
CELL_PARAMETERS angstrom
5.232 -7.014 0.000
5.232 7.014 0.000
-4.468 0.000 11.004
ATOMIC_POSITIONS crystal
Cs 0.146 0.854 0.750
Cs 0.854 0.146 0.250
Pr 0.500 0.500 0.000
Pr 0.500 0.500 0.500
Ag 0.190 0.810 0.250
Ag 0.810 0.190 0.750
I 0.124 0.266 0.937
I 0.185 0.594 0.398
I 0.266 0.124 0.437
I 0.406 0.815 0.102
I 0.423 0.577 0.750
I 0.577 0.423 0.250
I 0.594 0.185 0.898
I 0.734 0.876 0.563
I 0.815 0.406 0.602
I 0.876 0.734 0.063
! SG   C2/c
! ΔE_f (raw)   -1154 meV per atom
! Crystal system   monoclinic

(3)
! RePd | Alexandria | PBE | relaxed; values from VASP
&SYSTEM
  ibrav = 0, nat = 2, ntyp = 2
/
ATOMIC_SPECIES
Re 186.21 Re.upf
Pd 106.42 Pd.upf
CELL_PARAMETERS angstrom
2.753 0.000 0.000
-1.377 2.385 0.000
0.000 0.000 4.549
ATOMIC_POSITIONS crystal
Re 0.000 0.000 0.000
Pd 0.333 0.667 0.500
! ΔE to the lowest computed polymorph   8.1 kJ per mole of atoms
! E_form   14.3 kJ per mole of atoms
! SG   P-6m2
! Crystal system   hexagonal

Repeat the second record exactly.
! CsPrAgI5 | Alexandria | PBE | relaxed; values from VASP
&SYSTEM
  ibrav = 0, nat = 16, ntyp = 4
/
ATOMIC_SPECIES
Cs 132.91 Cs.upf
Pr 140.91 Pr.upf
Ag 107.87 Ag.upf
I 126.90 I.upf
CELL_PARAMETERS angstrom
5.232 -7.014 0.000
5.232 7.014 0.000
-4.468 0.000 11.004
ATOMIC_POSITIONS crystal
Cs 0.146 0.854 0.750
Cs 0.854 0.146 0.250
Pr 0.500 0.500 0.000
Pr 0.500 0.500 0.500
Ag 0.190 0.810 0.250
Ag 0.810 0.190 0.750
I 0.124 0.266 0.937
I 0.185 0.594 0.398
I 0.266 0.124 0.437
I 0.406 0.815 0.102
I 0.423 0.577 0.750
I 0.577 0.423 0.250
I 0.594 0.185 0.898
I 0.734 0.876 0.563
I 0.815 0.406 0.602
I 0.876 0.734 0.063
! SG   C2/c
! ΔE_f (raw)   -1154 meV per atom
! Crystal system   monoclinic